VASP calculation (PBE-GGA) on a relaxed HfTcN2 crystal.

Unit cell a=4.588 b=4.588 c=6.023 alpha=67.61 beta=67.61 gamma=90.00
Fractional positions:
Hf  0.000  0.000  0.000
Hf  0.750  0.250  0.500
Tc  0.500  0.500  0.000
Tc  0.250  0.750  0.500
N  0.604  0.125  0.250
N  0.146  0.625  0.250
N  0.375  0.396  0.750
N  0.875  0.854  0.750

Summary:
Total magnetization, μB per atom: 0.00
Raw formation energy, kcal/mol of atoms: -14.5
Final energy, eV/atom: -9.870